Record 1
DFT (PBE) results for a geometry-optimized Sm2Ga2BRh4 structure.

## Properties
VASP energy   -57.23 eV for the cell shown
Energy of formation   -0.629 eV per atom
Magnetic moment   0.00 μB/cell
DOS at the Fermi energy   4.779 states/eV/f.u.

Cell lengths 5.963, 5.963, 5.963 Å; angles 118.57, 118.57, 92.50 degrees
Positions (direct):
1 Sm 0.250 0.750 0.500
2 Sm 0.750 0.250 0.500
3 Ga 0.181 0.181 0.000
4 Ga 0.819 0.819 0.000
5 B 0.500 0.500 0.000
6 Rh 0.255 0.255 0.510
7 Rh 0.255 0.745 0.000
8 Rh 0.745 0.255 0.000
9 Rh 0.745 0.745 0.490

=====

Record 2
DFT (PBE) results for a geometry-optimized Sm3Ga2BRh3 structure.

## Properties
VASP energy   -54.21 eV for the cell shown
Energy of formation   -0.585 eV per atom
Magnetic moment   0.00 μB/cell
DOS at the Fermi energy   5.117 states/eV/f.u.

Cell lengths 7.328, 7.328, 3.633 Å; angles 90.00, 90.00, 120.00 degrees
Positions (direct):
1 Sm 0.000 0.374 0.000
2 Sm 0.374 0.000 0.000
3 Sm 0.626 0.626 0.000
4 Ga 0.333 0.667 0.500
5 Ga 0.667 0.333 0.500
6 B 0.000 0.000 0.000
7 Rh 0.000 0.782 0.500
8 Rh 0.218 0.218 0.500
9 Rh 0.782 0.000 0.500

=====

Record 3
DFT (PBE) results for a geometry-optimized SrGaBRh3 structure.

## Properties
VASP energy   -72.09 eV for the cell shown
Energy of formation   -0.434 eV per atom
Magnetic moment   0.00 μB/cell
DOS at the Fermi energy   5.059 states/eV/f.u.

Cell lengths 6.734, 6.734, 5.917 Å; angles 90.00, 90.00, 128.01 degrees
Positions (direct):
1 Sr 0.247 0.753 0.750
2 Sr 0.753 0.247 0.250
3 Ga 0.117 0.883 0.250
4 Ga 0.883 0.117 0.750
5 B 0.487 0.513 0.250
6 B 0.513 0.487 0.750
7 Rh 0.256 0.256 0.000
8 Rh 0.256 0.256 0.500
9 Rh 0.319 0.681 0.250
10 Rh 0.681 0.319 0.750
11 Rh 0.744 0.744 0.000
12 Rh 0.744 0.744 0.500

=====

Record 4
DFT (PBE) results for a geometry-optimized Sr2GaB2Rh5 structure.

## Properties
VASP energy   -121.47 eV for the cell shown
Energy of formation   -0.423 eV per atom
Magnetic moment   0.00 μB/cell
DOS at the Fermi energy   2.949 states/eV/f.u.

Cell lengths 9.973, 9.973, 3.042 Å; angles 90.00, 90.00, 90.00 degrees
Positions (direct):
1 Sr 0.178 0.322 0.000
2 Sr 0.322 0.822 0.000
3 Sr 0.678 0.178 0.000
4 Sr 0.822 0.678 0.000
5 Ga 0.000 0.000 0.000
6 Ga 0.500 0.500 0.000
7 B 0.121 0.621 0.000
8 B 0.379 0.121 0.000
9 B 0.621 0.879 0.000
10 B 0.879 0.379 0.000
11 Rh 0.000 0.500 0.500
12 Rh 0.068 0.776 0.500
13 Rh 0.224 0.068 0.500
14 Rh 0.276 0.568 0.500
15 Rh 0.432 0.276 0.500
16 Rh 0.500 0.000 0.500
17 Rh 0.568 0.724 0.500
18 Rh 0.724 0.432 0.500
19 Rh 0.776 0.932 0.500
20 Rh 0.932 0.224 0.500

=====

Record 5
DFT (PBE) results for a geometry-optimized TiGa2BRh structure.

## Properties
VASP energy   -23.86 eV for the cell shown
Energy of formation   0.824 eV per atom
Magnetic moment   0.00 μB/cell
DOS at the Fermi energy   4.572 states/eV/f.u.

Cell lengths 4.650, 4.650, 4.735 Å; angles 90.00, 90.00, 90.00 degrees
Positions (direct):
1 Ti 0.000 0.000 0.000
2 Ga 0.000 0.500 0.500
3 Ga 0.500 0.000 0.500
4 B 0.500 0.500 0.000
5 Rh 0.000 0.000 0.500

=====

Record 6
DFT (PBE) results for a geometry-optimized TiGaBRh2 structure.

## Properties
VASP energy   -33.95 eV for the cell shown
Energy of formation   -0.329 eV per atom
Magnetic moment   0.00 μB/cell
DOS at the Fermi energy   5.540 states/eV/f.u.

Cell lengths 4.070, 4.070, 4.262 Å; angles 90.00, 90.00, 90.00 degrees
Positions (direct):
1 Ti 0.000 0.000 0.000
2 Ga 0.500 0.500 0.000
3 B 0.000 0.000 0.500
4 Rh 0.000 0.500 0.500
5 Rh 0.500 0.000 0.500

=====

Record 7
DFT (PBE) results for a geometry-optimized Tm2GaBRh6 structure.

## Properties
VASP energy   -68.55 eV for the cell shown
Energy of formation   -0.579 eV per atom
Magnetic moment   0.00 μB/cell
DOS at the Fermi energy   8.703 states/eV/f.u.

Cell lengths 6.171, 6.171, 6.171 Å; angles 60.00, 60.00, 60.00 degrees
Positions (direct):
1 Tm 0.250 0.250 0.250
2 Tm 0.750 0.750 0.750
3 Ga 0.000 0.000 0.000
4 B 0.500 0.500 0.500
5 Rh 0.267 0.267 0.733
6 Rh 0.267 0.733 0.267
7 Rh 0.267 0.733 0.733
8 Rh 0.733 0.267 0.267
9 Rh 0.733 0.267 0.733
10 Rh 0.733 0.733 0.267

=====

Record 8
DFT (PBE) results for a geometry-optimized VGaBRh2 structure.

## Properties
VASP energy   -27.64 eV for the cell shown
Energy of formation   1.177 eV per atom
Magnetic moment   0.16 μB/cell
DOS at the Fermi energy   9.480 states/eV/f.u.

Cell lengths 4.604, 4.604, 3.739 Å; angles 90.00, 90.00, 90.00 degrees
Positions (direct):
1 V 0.000 0.000 0.000
2 Ga 0.500 0.500 0.500
3 B 0.500 0.500 0.000
4 Rh 0.000 0.500 0.500
5 Rh 0.500 0.000 0.500

=====

Record 9
DFT (PBE) results for a geometry-optimized YGa2BRh structure.

## Properties
VASP energy   -18.06 eV for the cell shown
Energy of formation   1.697 eV per atom
Magnetic moment   0.00 μB/cell
DOS at the Fermi energy   5.726 states/eV/f.u.

Cell lengths 5.590, 5.590, 4.844 Å; angles 90.00, 90.00, 90.00 degrees
Positions (direct):
1 Y 0.000 0.000 0.000
2 Ga 0.000 0.500 0.000
3 Ga 0.500 0.000 0.000
4 B 0.500 0.500 0.500
5 Rh 0.000 0.000 0.500

=====

Record 10
DFT (PBE) results for a geometry-optimized ZnGa2B2Rh5 structure.

## Properties
VASP energy   -123.18 eV for the cell shown
Energy of formation   -0.415 eV per atom
Magnetic moment   0.00 μB/cell
DOS at the Fermi energy   3.004 states/eV/f.u.

Cell lengths 9.370, 9.370, 2.907 Å; angles 90.00, 90.00, 90.00 degrees
Positions (direct):
1 Zn 0.000 0.000 0.000
2 Zn 0.500 0.500 0.000
3 Ga 0.176 0.324 0.000
4 Ga 0.324 0.824 0.000
5 Ga 0.676 0.176 0.000
6 Ga 0.824 0.676 0.000
7 B 0.129 0.629 0.000
8 B 0.371 0.129 0.000
9 B 0.629 0.871 0.000
10 B 0.871 0.371 0.000
11 Rh 0.000 0.500 0.500
12 Rh 0.081 0.789 0.500
13 Rh 0.211 0.081 0.500
14 Rh 0.289 0.581 0.500
15 Rh 0.419 0.289 0.500
16 Rh 0.500 0.000 0.500
17 Rh 0.581 0.711 0.500
18 Rh 0.711 0.419 0.500
19 Rh 0.789 0.919 0.500
20 Rh 0.919 0.211 0.500

=====

Record 11
DFT (PBE) results for a geometry-optimized Zr2GaB2Rh5 structure.

## Properties
VASP energy   -156.58 eV for the cell shown
Energy of formation   -0.805 eV per atom
Magnetic moment   0.00 μB/cell
DOS at the Fermi energy   3.162 states/eV/f.u.

Cell lengths 9.269, 9.269, 3.207 Å; angles 90.00, 90.00, 90.00 degrees
Positions (direct):
1 Zr 0.175 0.325 0.000
2 Zr 0.325 0.825 0.000
3 Zr 0.675 0.175 0.000
4 Zr 0.825 0.675 0.000
5 Ga 0.000 0.000 0.000
6 Ga 0.500 0.500 0.000
7 B 0.123 0.623 0.000
8 B 0.377 0.123 0.000
9 B 0.623 0.877 0.000
10 B 0.877 0.377 0.000
11 Rh 0.000 0.500 0.500
12 Rh 0.070 0.783 0.500
13 Rh 0.217 0.070 0.500
14 Rh 0.283 0.570 0.500
15 Rh 0.430 0.283 0.500
16 Rh 0.500 0.000 0.500
17 Rh 0.570 0.717 0.500
18 Rh 0.717 0.430 0.500
19 Rh 0.783 0.930 0.500
20 Rh 0.930 0.217 0.500

=====

Record 12
DFT (PBE) results for a geometry-optimized Ga2BRu structure.

## Properties
VASP energy   -40.72 eV for the cell shown
Energy of formation   0.412 eV per atom
Magnetic moment   0.00 μB/cell
DOS at the Fermi energy   3.596 states/eV/f.u.

Cell lengths 5.729, 5.729, 5.729 Å; angles 97.84, 97.84, 136.64 degrees
Positions (direct):
1 Ga 0.007 0.625 0.882
2 Ga 0.375 0.257 0.382
3 Ga 0.743 0.125 0.118
4 Ga 0.875 0.993 0.618
5 B 0.000 0.000 0.000
6 B 0.750 0.250 0.500
7 Ru 0.250 0.750 0.500
8 Ru 0.500 0.500 0.000

=====

Record 13
DFT (PBE) results for a geometry-optimized GaB2Ru structure.

## Properties
VASP energy   -46.56 eV for the cell shown
Energy of formation   0.594 eV per atom
Magnetic moment   0.00 μB/cell
DOS at the Fermi energy   1.581 states/eV/f.u.

Cell lengths 5.833, 5.833, 5.833 Å; angles 130.19, 130.19, 73.10 degrees
Positions (direct):
1 Ga 0.000 0.000 0.000
2 Ga 0.750 0.250 0.500
3 B 0.161 0.625 0.036
4 B 0.375 0.411 0.536
5 B 0.589 0.125 0.964
6 B 0.875 0.839 0.464
7 Ru 0.250 0.750 0.500
8 Ru 0.500 0.500 0.000

=====

Record 14
DFT (PBE) results for a geometry-optimized GaBRu structure.

## Properties
Energy above the most stable polymorph in this dataset   51 meV per atom
VASP energy   -19.19 eV for the cell shown
Energy of formation   -0.070 eV per atom
Magnetic moment   0.00 μB/cell
DOS at the Fermi energy   0.534 states/eV/f.u.

Cell lengths 4.751, 4.751, 4.751 Å; angles 144.64, 144.64, 50.87 degrees
Positions (direct):
1 Ga 0.000 0.000 0.000
2 B 0.698 0.698 0.000
3 Ru 0.292 0.292 0.000

=====

Record 15
DFT (PBE) results for a geometry-optimized GaBRu structure.

## Properties
Energy above the most stable polymorph in this dataset   0 meV per atom
VASP energy   -77.36 eV for the cell shown
Energy of formation   -0.120 eV per atom
Magnetic moment   0.00 μB/cell
DOS at the Fermi energy   1.054 states/eV/f.u.

Cell lengths 8.546, 3.006, 5.694 Å; angles 90.00, 90.00, 90.00 degrees
Positions (direct):
1 Ga 0.135 0.250 0.018
2 Ga 0.365 0.750 0.518
3 Ga 0.635 0.250 0.482
4 Ga 0.865 0.750 0.982
5 B 0.171 0.250 0.405
6 B 0.329 0.750 0.905
7 B 0.671 0.250 0.095
8 B 0.829 0.750 0.595
9 Ru 0.085 0.750 0.654
10 Ru 0.415 0.250 0.154
11 Ru 0.585 0.750 0.846
12 Ru 0.915 0.250 0.346

=====

Record 16
DFT (PBE) results for a geometry-optimized GaBSbRu2 structure.

## Properties
VASP energy   -29.87 eV for the cell shown
Magnetic moment   0.00 μB/cell
Energy relative to the elements, uncorrected   501 meV/atom
DOS at the Fermi energy   4.073 states/eV/f.u.

Cell lengths 4.223, 4.223, 4.485 Å; angles 90.00, 90.00, 90.00 degrees
Positions (direct):
1 Ga 0.000 0.000 0.000
2 B 0.500 0.500 0.500
3 Sb 0.500 0.500 0.000
4 Ru 0.000 0.500 0.500
5 Ru 0.500 0.000 0.500

=====

Record 17
DFT (PBE) results for a geometry-optimized GaB2RuSe structure.

## Properties
VASP energy   -25.35 eV for the cell shown
Magnetic moment   0.00 μB/cell
Energy relative to the elements, uncorrected   759 meV/atom
DOS at the Fermi energy   2.079 states/eV/f.u.

Cell lengths 4.045, 4.045, 5.187 Å; angles 90.00, 90.00, 90.00 degrees
Positions (direct):
1 Ga 0.000 0.000 0.000
2 B 0.000 0.500 0.500
3 B 0.500 0.000 0.500
4 Ru 0.000 0.000 0.500
5 Se 0.500 0.500 0.000

=====

Record 18
DFT (PBE) results for a geometry-optimized Sm2GaB2Ru5 structure.

## Properties
VASP energy   -151.73 eV for the cell shown
Energy of formation   -0.366 eV per atom
Magnetic moment   0.00 μB/cell
DOS at the Fermi energy   10.318 states/eV/f.u.

Cell lengths 9.664, 9.664, 3.150 Å; angles 90.00, 90.00, 90.00 degrees
Positions (direct):
1 Sm 0.176 0.324 0.000
2 Sm 0.324 0.824 0.000
3 Sm 0.676 0.176 0.000
4 Sm 0.824 0.676 0.000
5 Ga 0.000 0.000 0.000
6 Ga 0.500 0.500 0.000
7 B 0.123 0.623 0.000
8 B 0.377 0.123 0.000
9 B 0.623 0.877 0.000
10 B 0.877 0.377 0.000
11 Ru 0.000 0.500 0.500
12 Ru 0.069 0.780 0.500
13 Ru 0.220 0.069 0.500
14 Ru 0.280 0.569 0.500
15 Ru 0.431 0.280 0.500
16 Ru 0.500 0.000 0.500
17 Ru 0.569 0.720 0.500
18 Ru 0.720 0.431 0.500
19 Ru 0.780 0.931 0.500
20 Ru 0.931 0.220 0.500

=====

Record 19
DFT (PBE) results for a geometry-optimized Sm3Ga2BRu3 structure.

## Properties
VASP energy   -57.79 eV for the cell shown
Energy of formation   -0.342 eV per atom
Magnetic moment   0.00 μB/cell
DOS at the Fermi energy   5.986 states/eV/f.u.

Cell lengths 7.355, 7.355, 3.568 Å; angles 90.00, 90.00, 120.00 degrees
Positions (direct):
1 Sm 0.000 0.636 0.000
2 Sm 0.364 0.364 0.000
3 Sm 0.636 0.000 0.000
4 Ga 0.333 0.667 0.500
5 Ga 0.667 0.333 0.500
6 B 0.000 0.000 0.000
7 Ru 0.000 0.222 0.500
8 Ru 0.222 0.000 0.500
9 Ru 0.778 0.778 0.500

=====

Record 20
DFT (PBE) results for a geometry-optimized Ta2GaB2Ru5 structure.

## Properties
VASP energy   -183.83 eV for the cell shown
Energy of formation   -0.545 eV per atom
Magnetic moment   0.00 μB/cell
DOS at the Fermi energy   3.975 states/eV/f.u.

Cell lengths 9.306, 9.306, 3.008 Å; angles 90.00, 90.00, 90.00 degrees
Positions (direct):
1 Ta 0.177 0.323 0.000
2 Ta 0.323 0.823 0.000
3 Ta 0.677 0.177 0.000
4 Ta 0.823 0.677 0.000
5 Ga 0.000 0.000 0.000
6 Ga 0.500 0.500 0.000
7 B 0.125 0.625 0.000
8 B 0.375 0.125 0.000
9 B 0.625 0.875 0.000
10 B 0.875 0.375 0.000
11 Ru 0.000 0.500 0.500
12 Ru 0.070 0.785 0.500
13 Ru 0.215 0.070 0.500
14 Ru 0.285 0.570 0.500
15 Ru 0.430 0.285 0.500
16 Ru 0.500 0.000 0.500
17 Ru 0.570 0.715 0.500
18 Ru 0.715 0.430 0.500
19 Ru 0.785 0.930 0.500
20 Ru 0.930 0.215 0.500